1.
YSb2Te, single point on PBEsol structure, DFT SCAN; space-group type = Amm2; ΔE_f (raw) = -0.696 eV/atom; theoretical density = 6.90 Mg/m³; DFT total energy = -35.60 eV/atom
1.0
4.588 0.000 0.000
0.000 2.127 5.677
0.000 -2.127 5.677
Y Sb Te
1 2 1
direct
0.000 0.000 0.000 Y
0.500 0.194 0.194 Sb
0.500 0.442 0.442 Sb
0.000 0.711 0.711 Te

***

2.
Y2SbTe, single point on PBEsol structure, DFT SCAN; space-group type = F-43m; ΔE_f (raw) = -0.379 eV/atom; theoretical density = 6.79 Mg/m³; DFT total energy = -32.93 eV/atom; energy above the lowest structure with this stoichiometry = 1051 meV/atom
1.0
0.000 3.737 3.737
3.737 0.000 3.737
3.737 3.737 0.000
Y Sb Te
2 1 1
direct
0.000 0.000 0.000 Y
0.250 0.250 0.250 Y
0.750 0.750 0.750 Sb
0.500 0.500 0.500 Te

***

3.
YSbTe2, single point on PBEsol structure, DFT SCAN; space-group type = R3m; ΔE_f (raw) = -0.424 eV/atom; theoretical density = 6.30 Mg/m³; DFT total energy = -35.33 eV/atom
1.0
1.984 1.145 9.005
-1.984 1.145 9.005
0.000 -2.290 9.005
Y Sb Te
1 1 2
direct
0.000 0.000 0.000 Y
0.247 0.247 0.247 Sb
0.507 0.507 0.507 Te
0.734 0.734 0.734 Te

***

4.
Y2SbTe, single point on PBEsol structure, DFT SCAN; space-group type = P4/mmm; ΔE_f (raw) = -1.113 eV/atom; theoretical density = 6.75 Mg/m³; DFT total energy = -33.66 eV/atom; energy above the lowest structure with this stoichiometry = 318 meV/atom
1.0
3.735 0.000 0.000
0.000 3.735 0.000
0.000 0.000 7.529
Y Sb Te
2 1 1
direct
0.000 0.000 0.243 Y
0.000 0.000 0.757 Y
0.500 0.500 0.000 Sb
0.500 0.500 0.500 Te

***

5.
YSb2Te, single point on PBEsol structure, DFT SCAN; space-group type = Cmmm; ΔE_f (raw) = -0.440 eV/atom; theoretical density = 7.27 Mg/m³; DFT total energy = -35.34 eV/atom
1.0
3.265 -4.154 0.000
3.265 4.154 0.000
0.000 0.000 3.874
Y Sb Te
1 2 1
direct
0.000 0.000 0.000 Y
0.000 0.500 0.500 Sb
0.500 0.000 0.500 Sb
0.500 0.500 0.000 Te

***

6.
Y2SbTe, single point on PBEsol structure, DFT SCAN; space-group type = P4/mmm; ΔE_f (raw) = -1.424 eV/atom; theoretical density = 6.27 Mg/m³; DFT total energy = -33.97 eV/atom; energy above the lowest structure with this stoichiometry = 7 meV/atom
1.0
4.311 0.000 0.000
0.000 4.311 0.000
0.000 0.000 6.084
Y Sb Te
2 1 1
direct
0.000 0.000 0.000 Y
0.500 0.500 0.500 Y
0.000 0.000 0.500 Sb
0.500 0.500 0.000 Te

***

7.
YSb2Te, single point on PBEsol structure, DFT SCAN; space-group type = P2/m; ΔE_f (raw) = -0.520 eV/atom; theoretical density = 7.07 Mg/m³; DFT total energy = -35.42 eV/atom
1.0
4.225 0.000 0.000
0.000 4.221 0.000
-0.223 0.000 6.058
Y Sb Te
1 2 1
direct
0.000 0.000 0.000 Y
0.486 0.500 0.759 Sb
0.514 0.500 0.241 Sb
0.000 0.000 0.500 Te

***

8.
YSbTe2, single point on PBEsol structure, DFT SCAN; space-group type = Immm; ΔE_f (raw) = -0.743 eV/atom; theoretical density = 5.84 Mg/m³; DFT total energy = -35.64 eV/atom
1.0
-2.233 2.244 6.604
2.233 -2.244 6.604
2.233 2.244 -6.604
Y Sb Te
1 1 2
direct
0.000 0.000 0.000 Y
0.500 0.500 0.000 Sb
0.162 0.662 0.500 Te
0.838 0.338 0.500 Te